1.
The following is a DFT calculation (PBE) of an optimized crystal structure of HRh2NCl.

Cell lengths 4.503, 4.503, 2.956 Å; angles 90.00, 90.00, 90.00 degrees
Sites, in units of the cell vectors:
H: 0.000 0.000 0.000
Rh: 0.000 0.500 0.500
Rh: 0.500 0.000 0.500
N: 0.500 0.500 0.000
Cl: 0.000 0.000 0.500

Values from the calculation:
The value obtained for the uncorrected energy is -4.1625 eV per atom. The calculation puts the density of states at the Fermi level at 4.646 states/eV per cell.

2.
The following is a DFT calculation (PBE) of an optimized crystal structure of SbH4NCl6.

Cell lengths 7.122, 7.122, 11.906 Å; angles 92.93, 92.93, 65.85 degrees
Sites, in units of the cell vectors:
Sb: 0.000 0.500 0.000
Sb: 0.500 0.000 0.500
H: 0.029 0.846 0.779
H: 0.033 0.903 0.185
H: 0.097 0.967 0.315
H: 0.154 0.971 0.721
H: 0.846 0.029 0.279
H: 0.903 0.033 0.685
H: 0.967 0.097 0.815
H: 0.971 0.154 0.221
N: 0.014 0.986 0.750
N: 0.986 0.014 0.250
Cl: 0.139 0.215 0.513
Cl: 0.149 0.499 0.821
Cl: 0.215 0.139 0.013
Cl: 0.262 0.585 0.098
Cl: 0.415 0.738 0.402
Cl: 0.499 0.149 0.321
Cl: 0.501 0.851 0.679
Cl: 0.585 0.262 0.598
Cl: 0.738 0.415 0.902
Cl: 0.785 0.861 0.987
Cl: 0.851 0.501 0.179
Cl: 0.861 0.785 0.487

Values from the calculation:
The value obtained for the uncorrected energy is -3.7659 eV per atom. The calculation puts the density of states at the Fermi level at 0.000 states/eV per cell.

3.
The following is a DFT calculation (PBE) of an optimized crystal structure of ScH3NCl3.

Cell lengths 7.196, 9.353, 9.423 Å; angles 73.67, 77.05, 82.02 degrees
Sites, in units of the cell vectors:
Sc: 0.080 0.195 0.439
Sc: 0.398 0.308 0.051
Sc: 0.602 0.692 0.949
Sc: 0.920 0.805 0.561
H: 0.199 0.763 0.008
H: 0.246 0.415 0.511
H: 0.248 0.266 0.655
H: 0.280 0.764 0.158
H: 0.300 0.909 0.010
H: 0.414 0.277 0.501
H: 0.586 0.723 0.499
H: 0.700 0.091 0.990
H: 0.720 0.236 0.842
H: 0.752 0.734 0.345
H: 0.754 0.585 0.489
H: 0.801 0.237 0.992
N: 0.271 0.300 0.539
N: 0.310 0.794 0.042
N: 0.690 0.206 0.958
N: 0.729 0.700 0.461
Cl: 0.094 0.406 0.205
Cl: 0.101 0.965 0.653
Cl: 0.200 0.687 0.434
Cl: 0.243 0.183 0.928
Cl: 0.395 0.100 0.289
Cl: 0.415 0.542 0.841
Cl: 0.585 0.458 0.159
Cl: 0.605 0.900 0.711
Cl: 0.757 0.817 0.072
Cl: 0.800 0.313 0.566
Cl: 0.899 0.035 0.347
Cl: 0.906 0.594 0.795

Values from the calculation:
The value obtained for the uncorrected energy is -5.0961 eV per atom. The calculation puts the density of states at the Fermi level at 0.000 states/eV per cell.

4.
The following is a DFT calculation (PBE) of an optimized crystal structure of ScH6N2Cl3.

Cell lengths 6.958, 10.155, 11.166 Å; angles 73.75, 88.93, 70.93 degrees
Sites, in units of the cell vectors:
Sc: 0.110 0.227 0.198
Sc: 0.353 0.815 0.299
Sc: 0.647 0.185 0.701
Sc: 0.890 0.773 0.802
H: 0.212 0.472 0.203
H: 0.221 0.467 0.057
H: 0.229 0.302 0.605
H: 0.231 0.287 0.755
H: 0.244 0.791 0.063
H: 0.267 0.779 0.553
H: 0.279 0.425 0.657
H: 0.283 0.947 0.039
H: 0.284 0.943 0.496
H: 0.413 0.364 0.161
H: 0.480 0.798 0.055
H: 0.493 0.801 0.544
H: 0.507 0.199 0.456
H: 0.520 0.202 0.945
H: 0.587 0.636 0.839
H: 0.716 0.057 0.504
H: 0.717 0.053 0.961
H: 0.721 0.575 0.343
H: 0.733 0.221 0.447
H: 0.756 0.209 0.937
H: 0.769 0.713 0.245
H: 0.771 0.698 0.395
H: 0.779 0.533 0.943
H: 0.788 0.528 0.797
N: 0.257 0.403 0.148
N: 0.305 0.315 0.676
N: 0.341 0.838 0.088
N: 0.351 0.836 0.498
N: 0.649 0.164 0.502
N: 0.659 0.162 0.912
N: 0.695 0.685 0.324
N: 0.743 0.597 0.852
Cl: 0.002 0.000 0.258
Cl: 0.126 0.224 0.976
Cl: 0.140 0.223 0.419
Cl: 0.237 0.604 0.835
Cl: 0.265 0.600 0.357
Cl: 0.474 0.036 0.239
Cl: 0.526 0.964 0.761
Cl: 0.735 0.400 0.643
Cl: 0.763 0.396 0.165
Cl: 0.860 0.777 0.581
Cl: 0.874 0.776 0.024
Cl: 0.998 0.000 0.742

Values from the calculation:
The value obtained for the uncorrected energy is -5.0875 eV per atom. The calculation puts the density of states at the Fermi level at 0.000 states/eV per cell.

Question: The lowest uncorrected energy belongs to which entry?
Answer: ScH3NCl3